No. 1
{
  "formula": "Ac5SnIr",
  "functional": "GGA-PBE",
  "state": "optimized geometry",
  "lattice": [[6.267, -3.799, 0.000], [6.267, 3.799, 0.000], [-4.200, 0.000, 11.521]],
  "species": ["Ac", "Ac", "Ac", "Ac", "Ac", "Ac", "Ac", "Ac", "Ac", "Ac", "Sn", "Sn", "Ir", "Ir"],
  "fractional_positions": [[0.034, 0.966, 0.750], [0.038, 0.390, 0.638], [0.217, 0.552, 0.964], [0.390, 0.038, 0.138], [0.448, 0.783, 0.536], [0.552, 0.217, 0.464], [0.610, 0.962, 0.862], [0.783, 0.448, 0.036], [0.962, 0.610, 0.362], [0.966, 0.034, 0.250], [0.480, 0.520, 0.250], [0.520, 0.480, 0.750], [0.000, 0.000, 0.000], [0.000, 0.000, 0.500]],
  "magnetic_moment_mub_per_fu": 0.00,
  "space_group": "No. 15",
  "ef_ev_per_atom": -0.33
}



No. 2
{
  "formula": "Ac3Sn2Ir",
  "functional": "GGA-PBE",
  "state": "optimized geometry",
  "lattice": [[7.975, -3.295, 0.000], [7.975, 3.295, 0.000], [-2.204, 0.000, 8.085]],
  "species": ["Ac", "Ac", "Ac", "Ac", "Ac", "Ac", "Sn", "Sn", "Sn", "Sn", "Ir", "Ir"],
  "fractional_positions": [[0.024, 0.976, 0.750], [0.361, 0.364, 0.431], [0.364, 0.361, 0.931], [0.636, 0.639, 0.069], [0.639, 0.636, 0.569], [0.976, 0.024, 0.250], [0.179, 0.182, 0.090], [0.182, 0.179, 0.590], [0.818, 0.821, 0.410], [0.821, 0.818, 0.910], [0.499, 0.501, 0.750], [0.501, 0.499, 0.250]],
  "polymorph_energy_ev_per_fu": 1.32,
  "magnetic_moment_mub_per_fu": 0.00,
  "space_group": "No. 15",
  "ef_ev_per_atom": -0.49
}



No. 3
{
  "formula": "Ac8Sn2Ir3",
  "functional": "GGA-PBE",
  "state": "optimized geometry",
  "lattice": [[8.360, -4.369, 0.000], [8.360, 4.369, 0.000], [-2.319, 0.000, 7.228]],
  "species": ["Ac", "Ac", "Ac", "Ac", "Ac", "Ac", "Ac", "Ac", "Sn", "Sn", "Ir", "Ir", "Ir"],
  "fractional_positions": [[0.102, 0.102, 0.405], [0.132, 0.659, 0.104], [0.341, 0.868, 0.896], [0.390, 0.390, 0.558], [0.610, 0.610, 0.442], [0.659, 0.132, 0.104], [0.868, 0.341, 0.896], [0.898, 0.898, 0.595], [0.261, 0.261, 0.834], [0.739, 0.739, 0.166], [0.000, 0.000, 0.000], [0.252, 0.748, 0.500], [0.748, 0.252, 0.500]],
  "polymorph_energy_ev_per_fu": 0.00,
  "magnetic_moment_mub_per_fu": 0.00,
  "space_group": "No. 12",
  "ef_ev_per_atom": -0.54
}



No. 4
{
  "formula": "Ac2SnIr",
  "functional": "GGA-PBE",
  "state": "optimized geometry",
  "lattice": [[3.742, 0.000, 0.000], [0.000, 3.742, 0.000], [0.000, 0.000, 8.576]],
  "species": ["Ac", "Ac", "Sn", "Ir"],
  "fractional_positions": [[0.000, 0.000, 0.209], [0.000, 0.000, 0.791], [0.500, 0.500, 0.500], [0.500, 0.500, 0.000]],
  "magnetic_moment_mub_per_fu": 0.00,
  "space_group": "No. 123",
  "ef_ev_per_atom": -0.56
}



No. 5
{
  "formula": "AcSnIr4",
  "functional": "GGA-PBE",
  "state": "optimized geometry",
  "lattice": [[0.000, 3.871, 3.871], [3.871, 0.000, 3.871], [3.871, 3.871, 0.000]],
  "species": ["Ac", "Sn", "Ir", "Ir", "Ir", "Ir"],
  "fractional_positions": [[0.000, 0.000, 0.000], [0.750, 0.750, 0.750], [0.376, 0.376, 0.376], [0.376, 0.376, 0.872], [0.376, 0.872, 0.376], [0.872, 0.376, 0.376]],
  "magnetic_moment_mub_per_fu": 0.00,
  "space_group": "No. 216",
  "ef_ev_per_atom": -0.19
}



No. 6
{
  "formula": "Ac5Sn5Ir2",
  "functional": "GGA-PBE",
  "state": "optimized geometry",
  "lattice": [[8.561, -2.338, 0.000], [8.561, 2.338, 0.000], [-8.506, 0.000, 9.401]],
  "species": ["Ac", "Ac", "Ac", "Ac", "Ac", "Sn", "Sn", "Sn", "Sn", "Sn", "Ir", "Ir"],
  "fractional_positions": [[0.000, 0.000, 0.000], [0.123, 0.123, 0.422], [0.196, 0.196, 0.821], [0.804, 0.804, 0.179], [0.877, 0.877, 0.578], [0.251, 0.251, 0.303], [0.447, 0.447, 0.162], [0.500, 0.500, 0.500], [0.553, 0.553, 0.838], [0.749, 0.749, 0.697], [0.352, 0.352, 0.735], [0.648, 0.648, 0.265]],
  "magnetic_moment_mub_per_fu": 0.00,
  "space_group": "No. 12",
  "ef_ev_per_atom": -0.65
}



Q: What is the formula in the sixth record?
A: Ac5Sn5Ir2